! Li6AgAu PBE-GGA optimized geometry; values from VASP
! Total DFT energy (no corrections) = -2.466 eV per atom
&SYSTEM
  ibrav = 0, nat = 8, ntyp = 3
/
ATOMIC_SPECIES
Li 6.94 Li.upf
Ag 107.87 Ag.upf
Au 196.97 Au.upf
ATOMIC_POSITIONS angstrom
Li 0.0000 0.0000 0.0000
Li 0.0000 2.2044 1.5281
Li 0.0000 2.2044 4.7046
Li 2.2044 0.0000 1.5281
Li 2.2044 0.0000 4.7046
Li 2.2044 2.2044 3.1163
Ag 0.0000 0.0000 3.1163
Au 2.2044 2.2044 0.0000
CELL_PARAMETERS angstrom
4.4088 0.0000 0.0000
0.0000 4.4088 0.0000
0.0000 0.0000 6.2327



! KCuTcSe3 PBE-GGA optimized geometry; values from VASP
! Total DFT energy (no corrections) = -4.747 eV per atom
! Distance to the lowest polymorph of the same formula = 0.000 eV/atom
&SYSTEM
  ibrav = 0, nat = 12, ntyp = 4
/
ATOMIC_SPECIES
K 39.10 K.upf
Cu 63.55 Cu.upf
Tc 98.00 Tc.upf
Se 78.96 Se.upf
ATOMIC_POSITIONS angstrom
K 1.0489 0.9491 1.9836
K 3.1233 2.8472 7.1624
Cu -0.0030 0.9491 8.1501
Cu 4.1752 2.8472 0.9960
Tc -0.9879 2.8472 6.1453
Tc 5.1601 0.9491 3.0007
Se -1.1325 2.8472 3.5334
Se -1.5411 2.8472 8.5908
Se 0.7025 0.9491 5.8971
Se 3.4697 2.8472 3.2489
Se 5.7133 0.9491 0.5552
Se 5.3047 0.9491 5.6127
CELL_PARAMETERS angstrom
7.9148 0.0000 0.0000
0.0000 3.7962 0.0000
-3.7426 0.0000 9.1460



Q: Which formula does entry 2 have?
A: KCuTcSe3